[1]
This record from the Alexandria database describes LaSiBRh6 after structural relaxation. The functional is PBE.

Values from the calculation:
Electronic total energy: -253.6 eV for the cell shown
Energy relative to the elements, uncorrected: -0.25 eV/atom
Spin magnetization: 0.000 μB/atom

abc: 6.1231 8.6091 11.1127
angles: 90.00 90.00 90.00
Space group Imma (No. 74)
Unique sites:
La: 0.0000 0.2500 0.1793 (multiplicity 4)
Si: 0.2500 0.2500 0.7500 (multiplicity 4)
B: 0.0000 0.0000 0.5000 (multiplicity 4)
Rh: 0.0000 0.2500 0.4786 (multiplicity 4)
Rh: 0.0000 0.2500 0.9100 (multiplicity 4)
Rh: 0.2366 0.0153 0.6269 (multiplicity 16)

***

[2]
This record from the Alexandria database describes La2SiBRh6 after structural relaxation. The functional is PBE.

Values from the calculation:
Electronic total energy: -146.8 eV for the cell shown
Energy relative to the elements, uncorrected: -0.73 eV/atom
Spin magnetization: 0.000 μB/atom

abc: 6.2341 8.8180 6.2305
angles: 90.00 90.00 90.00
Space group Pmmn (No. 59, origin choice 2)
Unique sites:
La: 0.2500 0.0001 0.2500 (multiplicity 4)
Si: 0.2500 0.2500 0.7493 (multiplicity 2)
B: 0.2500 0.7500 0.7506 (multiplicity 2)
Rh: 0.0122 0.7500 0.9881 (multiplicity 4)
Rh: 0.0127 0.7500 0.5124 (multiplicity 4)
Rh: 0.2500 0.5123 0.7502 (multiplicity 4)

***

[3]
This record from the Alexandria database describes LaSiBRh3 after structural relaxation. The functional is PBE.

Values from the calculation:
Electronic total energy: -175.6 eV for the cell shown
Energy relative to the elements, uncorrected: -0.80 eV/atom
Spin magnetization: 0.000 μB/atom

abc: 5.7629 12.1827 5.7778
angles: 90.00 90.00 90.00
Space group Cmcm (No. 63)
Unique sites:
La: 0.0000 0.2455 0.2500 (multiplicity 4)
Si: 0.0000 0.1075 0.7500 (multiplicity 4)
B: 0.0000 0.4707 0.7500 (multiplicity 4)
Rh: 0.0000 0.2996 0.7500 (multiplicity 4)
Rh: 0.2491 0.5000 0.0000 (multiplicity 8)

***

[4]
This record from the Alexandria database describes La2SnB2Rh5 after structural relaxation. The functional is PBE.

Values from the calculation:
Electronic total energy: -141.9 eV for the cell shown
Spin magnetization: 0.000 μB/atom

abc: 9.8537 9.8537 3.3153
angles: 90.00 90.00 90.00
Space group P4/mbm (No. 127)
Unique sites:
La: 0.1771 0.3229 0.0000 (multiplicity 4)
Sn: 0.0000 0.0000 0.0000 (multiplicity 2)
B: 0.1196 0.6196 0.0000 (multiplicity 4)
Rh: 0.0000 0.5000 0.5000 (multiplicity 2)
Rh: 0.0703 0.7701 0.5000 (multiplicity 8)

***

[5]
This record from the Alexandria database describes La2SnBRh6 after structural relaxation. The functional is PBE.

Values from the calculation:
Electronic total energy: -211.6 eV for the cell shown
Spin magnetization: 0.000 μB/atom

abc: 5.8179 5.8179 19.3581
angles: 90.00 90.00 120.00
Space group R-3m (No. 166, hexagonal axes)
Unique sites:
La: 0.0000 0.0000 0.2345 (multiplicity 6)
Sn: 0.0000 0.0000 0.5000 (multiplicity 3)
B: 0.0000 0.0000 0.0000 (multiplicity 3)
Rh: 0.0139 0.5070 0.2759 (multiplicity 18)

***

[6]
This record from the Alexandria database describes La2TlB2Rh5 after structural relaxation. The functional is PBE.

Values from the calculation:
Electronic total energy: -136.5 eV for the cell shown
Spin magnetization: 0.000 μB/atom

abc: 9.9361 9.9361 3.3057
angles: 90.00 90.00 90.00
Space group P4/mbm (No. 127)
Unique sites:
La: 0.1775 0.3225 0.0000 (multiplicity 4)
Tl: 0.0000 0.0000 0.0000 (multiplicity 2)
B: 0.1192 0.6192 0.0000 (multiplicity 4)
Rh: 0.0000 0.5000 0.5000 (multiplicity 2)
Rh: 0.0704 0.7667 0.5000 (multiplicity 8)

***

[7]
This record from the Alexandria database describes La2UBRh6 after structural relaxation. The functional is PBE.

Values from the calculation:
Electronic total energy: -234.6 eV for the cell shown
Spin magnetization: 0.000 μB/atom

abc: 5.9895 5.9895 18.2433
angles: 90.00 90.00 120.00
Space group R-3m (No. 166, hexagonal axes)
Unique sites:
La: 0.0000 0.0000 0.2322 (multiplicity 6)
U: 0.0000 0.0000 0.5000 (multiplicity 3)
B: 0.0000 0.0000 0.0000 (multiplicity 3)
Rh: 0.0125 0.5062 0.2708 (multiplicity 18)

***

[8]
This record from the Alexandria database describes LaYB4Rh6 after structural relaxation. The functional is PBE.

Values from the calculation:
Electronic total energy: -90.5 eV for the cell shown
Spin magnetization: 0.000 μB/atom

abc: 3.1525 5.4686 9.4789
angles: 90.00 90.00 90.00
Space group Pmmm (No. 47)
Unique sites:
La: 0.0000 0.0000 0.0000 (multiplicity 1)
Y: 0.0000 0.5000 0.5000 (multiplicity 1)
B: 0.0000 0.0000 0.3335 (multiplicity 2)
B: 0.0000 0.5000 0.1670 (multiplicity 2)
Rh: 0.5000 0.0000 0.5000 (multiplicity 1)
Rh: 0.5000 0.2532 0.2547 (multiplicity 4)
Rh: 0.5000 0.5000 0.0000 (multiplicity 1)

***

[9]
This record from the Alexandria database describes La2B4Ru after structural relaxation. The functional is PBE.

Values from the calculation:
Electronic total energy: -89.8 eV for the cell shown
Spin magnetization: 0.000 μB/atom

abc: 4.1040 4.1040 13.9043
angles: 90.00 90.00 90.00
Space group I4/mmm (No. 139)
Unique sites:
La: 0.0000 0.0000 0.1453 (multiplicity 4)
B: 0.0000 0.0000 0.3465 (multiplicity 4)
B: 0.0000 0.5000 0.0000 (multiplicity 4)
Ru: 0.0000 0.0000 0.5000 (multiplicity 2)

***

[10]
This record from the Alexandria database describes LaBRu after structural relaxation. The functional is PBE.

Values from the calculation:
Energy above the lowest structure with this stoichiometry: 0.037 eV/atom
Electronic total energy: -21.9 eV for the cell shown
Spin magnetization: 0.000 μB/atom

abc: 3.6970 3.6970 4.5656
angles: 90.00 90.00 120.00
Space group P-6m2 (No. 187)
Unique sites:
La: 0.0000 0.0000 0.0000 (multiplicity 1)
B: 0.3333 0.6667 0.5000 (multiplicity 1)
Ru: 0.6667 0.3333 0.5000 (multiplicity 1)

***

[11]
This record from the Alexandria database describes LaB3Ru2 after structural relaxation. The functional is PBE.

Values from the calculation:
Electronic total energy: -177.9 eV for the cell shown
Spin magnetization: 0.000 μB/atom

abc: 5.2453 9.9872 6.0845
angles: 90.00 90.00 90.00
Space group Imma (No. 74)
Unique sites:
La: 0.0000 0.2500 0.1352 (multiplicity 4)
B: 0.1695 0.0000 0.0000 (multiplicity 8)
B: 0.2500 0.2500 0.7500 (multiplicity 4)
Ru: 0.0000 0.0869 0.6852 (multiplicity 8)

***

[12]
This record from the Alexandria database describes La2B4Ru3 after structural relaxation. The functional is PBE.

Values from the calculation:
Electronic total energy: -256.7 eV for the cell shown
Spin magnetization: 0.000 μB/atom

abc: 5.6676 9.5954 10.9642
angles: 90.00 90.00 90.00
Space group Fmmm (No. 69)
Unique sites:
La: 0.0000 0.0000 0.1572 (multiplicity 8)
B: 0.0000 0.1697 0.3785 (multiplicity 16)
Ru: 0.0000 0.0000 0.5000 (multiplicity 4)
Ru: 0.2500 0.2500 0.0000 (multiplicity 8)